Record 1
Below is crystalline Cs2Pu2NpSe6 at its relaxed geometry, with properties calculated at the PBE level.

Output
The total energy is -7.225 eV/atom. As for the total magnetic moment: 13.00 μB/f.u. The value obtained for the formation energy from raw total energies is -1.3874 eV per atom.

a b c (Å): 7.3303 7.3303 8.8767
angles (deg): 97.99 97.99 119.93
Last column: nearest neighbours and their distance in Å.
Sites, in units of the cell vectors:
Cs1 0.1678 0.8322 0.0000  6 Se 3.66-3.68
Cs2 0.8322 0.1678 0.0000  6 Se 3.66-3.68
Pu1 0.3336 0.6664 0.5000  6 Se 2.90
Pu2 0.6664 0.3336 0.5000  6 Se 2.90
Np1 0.0000 0.0000 0.5000  6 Se 2.85-2.86
Se1 0.0603 0.3891 0.6797  1 Np 2.86, 2 Pu 2.90
Se2 0.2676 0.2676 0.3205  1 Np 2.85, 2 Pu 2.90
Se3 0.3891 0.0603 0.6797  1 Np 2.86, 2 Pu 2.90
Se4 0.6109 0.9397 0.3203  1 Np 2.86, 2 Pu 2.90
Se5 0.7324 0.7324 0.6795  1 Np 2.85, 2 Pu 2.90
Se6 0.9397 0.6109 0.3203  1 Np 2.86, 2 Pu 2.90

Record 2
Below is crystalline Cs3PuNp2Se6 at its relaxed geometry, with properties calculated at the PBE level.

Output
The total energy is -6.613 eV/atom. As for the total magnetic moment: 13.00 μB/f.u. The value obtained for the formation energy from raw total energies is -1.3066 eV per atom.

a b c (Å): 7.4894 7.4894 8.7221
angles (deg): 98.23 98.23 120.00
Last column: nearest neighbours and their distance in Å.
Sites, in units of the cell vectors:
Cs1 0.0000 0.0000 0.0000  6 Se 3.61-3.64
Cs2 0.3347 0.6653 0.0000  6 Se 3.62-3.64
Cs3 0.6653 0.3347 0.0000  6 Se 3.62-3.64
Pu1 0.5000 0.5000 0.5000  6 Se 2.96
Np1 0.1668 0.8332 0.5000  6 Se 2.92
Np2 0.8332 0.1668 0.5000  6 Se 2.92
Se1 0.1013 0.4384 0.3153  2 Np 2.92, 1 Pu 2.96
Se2 0.2243 0.2243 0.6841  2 Np 2.92, 1 Pu 2.96
Se3 0.4384 0.1013 0.3153  2 Np 2.92, 1 Pu 2.96
Se4 0.5616 0.8987 0.6847  2 Np 2.92, 1 Pu 2.96
Se5 0.7757 0.7757 0.3159  2 Np 2.92, 1 Pu 2.96
Se6 0.8987 0.5616 0.6847  2 Np 2.92, 1 Pu 2.96

Record 3
Below is crystalline Cs2PuNp2Se6 at its relaxed geometry, with properties calculated at the PBE level.

Output
The total energy is -6.996 eV/atom. As for the total magnetic moment: 1.72 μB/f.u. The value obtained for the formation energy from raw total energies is -1.2841 eV per atom.

a b c (Å): 7.3699 7.3699 8.8645
angles (deg): 97.82 97.82 120.18
Last column: nearest neighbours and their distance in Å.
Sites, in units of the cell vectors:
Cs1 0.1652 0.8348 0.0000  6 Se 3.64-3.68
Cs2 0.8348 0.1652 0.0000  6 Se 3.64-3.68
Pu1 0.0000 0.0000 0.5000  6 Se 2.95
Np1 0.3338 0.6662 0.5000  6 Se 2.87
Np2 0.6662 0.3338 0.5000  6 Se 2.87
Se1 0.0584 0.4010 0.6804  2 Np 2.87, 1 Pu 2.95
Se2 0.2824 0.2824 0.3189  2 Np 2.87, 1 Pu 2.95
Se3 0.4010 0.0584 0.6804  2 Np 2.87, 1 Pu 2.95
Se4 0.5990 0.9416 0.3196  2 Np 2.87, 1 Pu 2.95
Se5 0.7176 0.7176 0.6811  2 Np 2.87, 1 Pu 2.95
Se6 0.9416 0.5990 0.3196  2 Np 2.87, 1 Pu 2.95